TaRhN2F: relaxed, GGA-PBE.

Calculated values
The calculation puts the energy above the most stable polymorph in this dataset at 0 meV/atom. The value obtained for the total energy is -7.6537 eV per atom. As for the formation energy (no corrections): -0.108 eV/atom.

Cell and atoms, written as CIF:
```
data_TaRhN2F
_chemical_formula_sum 'Ta1 Rh1 N2 F1'
_cell_length_a 4.0814
_cell_length_b 4.0814
_cell_length_c 3.9442
_cell_angle_alpha 90.00
_cell_angle_beta 90.00
_cell_angle_gamma 90.00
_symmetry_space_group_name_H-M 'P 4/m m m'
_symmetry_Int_Tables_number 123
_symmetry_space_group_name_Hall '-P 4 2'
loop_
_atom_site_label
_atom_site_type_symbol
_atom_site_fract_x
_atom_site_fract_y
_atom_site_fract_z
Ta1 Ta 0.0000 0.0000 0.0000
Rh1 Rh 0.5000 0.5000 0.5000
N1 N 0.0000 0.5000 0.0000
F1 F 0.0000 0.0000 0.5000
```